10
Lattice="-3.580 3.580 5.747 3.580 -3.580 5.747 3.580 3.580 -5.747" Properties=species:S:1:pos:R:3 comment="Rb2CrCBr6 | Alexandria via LeMat-Bulk | GGA-PBE | optimized geometry" sg=I4/mmm dos_at_fermi_per_ev_cell=4.433 raw_formation_energy_ev_per_atom=-0.43 total_magnetization_mub_per_cell=4.0 rho_g_cm3=4.03 pbc="T T T"
Rb 3.580 0.000 2.874
Rb 0.000 3.580 2.874
Cr 0.000 0.000 0.000
C 0.000 0.000 5.747
Br 0.000 0.000 2.511
Br 1.850 1.850 0.000
Br 1.730 -1.730 5.747
Br -1.730 1.730 5.747
Br 1.730 1.730 5.747
Br 0.000 0.000 8.984